Record 1
Below is an optimized crystal structure of Ta3BPt, with properties calculated at the GGA-PBE level.

Cell and atoms, written as POSCAR:
```
Ta3BPt
1.0
4.312 0.000 0.000
0.000 4.312 0.000
0.000 0.000 4.312
Ta B Pt
3 1 1
Direct
0.000 0.000 0.500
0.000 0.500 0.000
0.500 0.000 0.000
0.000 0.000 0.000
0.500 0.500 0.500
```

Uncorrected energy   -9.910 eV per atom
V   80.2 Å³/cell
Symmetry   No. 221
M_tot   0.00 μB per cell
Energy relative to the elements   -25 kJ/mol of atoms
Excess energy over the best structure of this formula in the dataset   0.00 kcal/mol of atoms

Record 2
Below is an optimized crystal structure of Ta2BPt, with properties calculated at the GGA-PBE level.

Cell and atoms, written as POSCAR:
```
Ta2BPt
1.0
-3.335 3.335 2.790
3.335 -3.335 2.790
3.335 3.335 -2.790
Ta B Pt
4 2 2
Direct
0.077 0.625 0.952
0.375 0.327 0.452
0.673 0.125 0.048
0.875 0.923 0.548
0.000 0.000 0.000
0.750 0.250 0.500
0.250 0.750 0.500
0.500 0.500 0.000
```

Uncorrected energy   -9.094 eV per atom
V   124.2 Å³/cell
Symmetry   No. 122
M_tot   0.00 μB per cell
Energy relative to the elements   1 kJ/mol of atoms

Repeat the second record exactly.
Below is an optimized crystal structure of Ta2BPt, with properties calculated at the GGA-PBE level.

Cell and atoms, written as POSCAR:
```
Ta2BPt
1.0
-3.335 3.335 2.790
3.335 -3.335 2.790
3.335 3.335 -2.790
Ta B Pt
4 2 2
Direct
0.077 0.625 0.952
0.375 0.327 0.452
0.673 0.125 0.048
0.875 0.923 0.548
0.000 0.000 0.000
0.750 0.250 0.500
0.250 0.750 0.500
0.500 0.500 0.000
```

Uncorrected energy   -9.094 eV per atom
V   124.2 Å³/cell
Symmetry   No. 122
M_tot   0.00 μB per cell
Energy relative to the elements   1 kJ/mol of atoms

> Among the records above, which one has the highest uncorrected energy?

Ta2BPt